Record 1
VASP calculation (GGA-PBE) on a relaxed CuSb2P6 crystal.

Distance to the lowest polymorph of the same formula in meV/atom: 0.0
ΔE_f (raw) in kJ/mol of atoms: 19.03
Symmetry: No. 14

Geometry as POSCAR:
```
CuSb2P6
1.0
4.733 0.000 0.000
0.000 5.401 0.008
0.000 5.176 17.021
Sb P Cu
4 12 2
Cartesian
3.583 2.209 4.026
1.151 8.368 13.003
1.216 5.780 4.493
3.517 4.797 12.537
2.786 4.410 10.063
0.620 3.800 1.621
2.675 1.653 0.081
4.313 1.821 1.552
0.308 6.336 8.438
4.425 4.242 8.592
1.947 6.168 6.966
0.420 8.756 15.477
4.113 6.778 15.408
2.986 4.189 6.898
1.747 6.388 10.131
2.059 8.924 16.948
2.367 2.588 8.511
0.000 0.000 0.000
```

Record 2
VASP calculation (GGA-PBE) on a relaxed Sc4CoAs crystal.

Distance to the lowest polymorph of the same formula in meV/atom: 0.0
Calculated formation energy in kJ/mol of atoms: -59.3
Symmetry: No. 62

Geometry as POSCAR:
```
Sc4CoAs
1.0
-3.631 0.835 -0.746
-0.998 -6.667 -2.607
-4.436 -5.407 15.525
Sc Co As
16 4 4
Cartesian
-5.741 -9.166 12.830
-3.333 -5.532 5.188
-5.731 -5.707 6.982
-7.844 -11.009 11.329
-6.449 -8.589 7.250
-4.627 -7.235 9.574
-4.656 -6.996 0.311
-1.220 -0.230 0.841
-2.615 -2.650 4.921
-4.408 -4.243 11.859
-3.324 -2.073 -0.659
-2.201 -4.870 0.421
-3.505 -3.715 8.055
-4.437 -4.004 2.597
-5.560 -7.524 4.116
-6.863 -6.369 11.750
-4.117 -7.770 6.495
-4.947 -3.469 5.676
-5.342 -6.538 13.832
-3.723 -4.701 -1.661
-2.019 -2.581 2.098
-7.045 -8.658 10.073
-3.038 -6.549 2.615
-6.026 -4.691 9.556
```

Record 3
VASP calculation (GGA-PBE) on a relaxed K2ReMo crystal.

Distance to the lowest polymorph of the same formula in meV/atom: 646.7
Calculated formation energy in kJ/mol of atoms: 144.6
Symmetry: No. 65

Geometry as POSCAR:
```
K2ReMo
1.0
-4.624 3.334 -3.324
3.847 -5.081 -1.713
-1.863 -1.707 0.880
Re Mo K
1 1 2
Cartesian
0.992 -3.394 -0.417
-3.244 0.813 -1.222
0.000 0.000 0.000
-0.389 -0.874 -2.519
```

Record 4
VASP calculation (GGA-PBE) on a relaxed Zn2InAg6 crystal.

Calculated formation energy in kJ/mol of atoms: 0.8
Symmetry: No. 15

Geometry as POSCAR:
```
Zn2InAg6
1.0
4.820 -0.175 -0.170
1.288 8.267 1.258
1.288 1.525 8.222
Ag In Zn
12 2 4
Cartesian
2.545 8.512 3.248
4.955 3.435 8.318
6.084 6.566 8.001
6.104 4.567 5.951
3.694 6.183 4.457
3.674 8.297 6.388
3.721 1.320 2.923
1.291 5.050 3.360
1.311 3.052 1.310
3.701 3.434 4.854
2.440 6.182 0.993
4.850 1.105 6.062
2.493 2.356 7.276
4.903 7.261 2.035
1.305 2.379 4.023
3.715 4.011 2.162
3.680 5.606 7.148
6.090 7.238 5.287
```

Record 5
VASP calculation (GGA-PBE) on a relaxed Tb4MgPd crystal.

Distance to the lowest polymorph of the same formula in meV/atom: 0.0
Calculated formation energy in kJ/mol of atoms: -34.1
Symmetry: No. 216

Geometry as POSCAR:
```
Tb4MgPd
1.0
8.498 0.000 4.906
2.833 8.012 4.906
0.000 0.000 9.813
Tb Pd Mg
16 4 4
Cartesian
9.574 4.488 12.857
9.256 6.545 9.813
9.574 4.488 16.582
6.347 4.488 14.719
7.461 1.467 12.922
3.870 6.545 6.704
5.665 6.413 9.813
4.531 3.204 7.848
3.870 6.545 12.922
10.649 7.530 14.719
7.934 3.204 9.813
4.531 3.204 11.778
7.461 1.467 6.704
2.075 1.467 9.813
7.423 7.530 16.582
7.423 7.530 12.857
6.874 4.860 7.720
5.665 1.443 9.813
6.874 4.860 11.906
3.249 4.860 9.813
1.925 1.361 3.335
4.647 1.361 4.906
2.833 3.928 4.906
1.925 1.361 6.478
```

Record 6
VASP calculation (GGA-PBE) on a relaxed PrTlCl4 crystal.

Distance to the lowest polymorph of the same formula in meV/atom: 71.2
ΔE_f (raw) in kJ/mol of atoms: -173.92
Symmetry: No. 15

Geometry as POSCAR:
```
PrTlCl4
1.0
7.190 -0.003 0.000
-1.844 8.020 0.000
-2.673 -4.009 6.773
Tl Cl Pr
2 8 2
Cartesian
1.798 -0.001 4.905
0.876 4.010 1.868
-0.828 4.816 4.632
3.537 2.144 0.796
5.404 5.872 0.796
-0.864 1.865 5.977
3.501 -0.808 2.141
2.579 3.203 4.632
-2.731 -1.864 5.977
0.094 0.806 2.141
-2.720 4.011 6.663
5.393 -0.002 0.110
```

What did the fifth record say?
VASP calculation (GGA-PBE) on a relaxed Tb4MgPd crystal.

Distance to the lowest polymorph of the same formula in meV/atom: 0.0
Calculated formation energy in kJ/mol of atoms: -34.1
Symmetry: No. 216

Geometry as POSCAR:
```
Tb4MgPd
1.0
8.498 0.000 4.906
2.833 8.012 4.906
0.000 0.000 9.813
Tb Pd Mg
16 4 4
Cartesian
9.574 4.488 12.857
9.256 6.545 9.813
9.574 4.488 16.582
6.347 4.488 14.719
7.461 1.467 12.922
3.870 6.545 6.704
5.665 6.413 9.813
4.531 3.204 7.848
3.870 6.545 12.922
10.649 7.530 14.719
7.934 3.204 9.813
4.531 3.204 11.778
7.461 1.467 6.704
2.075 1.467 9.813
7.423 7.530 16.582
7.423 7.530 12.857
6.874 4.860 7.720
5.665 1.443 9.813
6.874 4.860 11.906
3.249 4.860 9.813
1.925 1.361 3.335
4.647 1.361 4.906
2.833 3.928 4.906
1.925 1.361 6.478
```